An optimized crystal structure of NaMnO4. Source: the Alexandria database, functional PBE with a Hubbard U.

Cell: 8.6674 5.9244 8.9935 Å, 52.77 90.00 90.00°
With the nearest neighbours (Å) after each atom.
Positions (direct):
Na 0.4543 0.1178 0.6432  6 O 2.40-2.55
O 0.1534 0.8028 0.0862  1 Mn 1.63
Mn 0.3106 0.6159 0.1476  4 O 1.61-1.63
O 0.1123 0.5800 0.8255  1 Mn 1.62
O 0.6123 0.4200 0.6745  1 Mn 1.62
O 0.2712 0.3066 0.2040  1 Mn 1.61
O 0.0704 0.7748 0.4752  1 Mn 1.61
Mn 0.1894 0.6159 0.6476  4 O 1.61-1.63
O 0.8877 0.4200 0.1745  1 Mn 1.62
Na 0.0457 0.1178 0.1432  6 O 2.40-2.55
O 0.3877 0.5800 0.3255  1 Mn 1.62
O 0.4296 0.7748 0.9752  1 Mn 1.61
O 0.6534 0.1972 0.4138  1 Mn 1.63
Na 0.5457 0.8822 0.3568  6 O 2.40-2.55
Na 0.9543 0.8822 0.8568  6 O 2.40-2.55
O 0.3466 0.8028 0.5861  1 Mn 1.63
Mn 0.8106 0.3841 0.3524  4 O 1.61-1.63
O 0.8466 0.1972 0.9138  1 Mn 1.63
O 0.7712 0.6934 0.2960  1 Mn 1.61
O 0.9296 0.2252 0.5248  1 Mn 1.61
O 0.7288 0.6934 0.7960  1 Mn 1.61
O 0.2288 0.3066 0.7040  1 Mn 1.61
Mn 0.6894 0.3841 0.8524  4 O 1.61-1.63
O 0.5704 0.2252 0.0248  1 Mn 1.61

Values from the calculation:
crystal system = monoclinic
N(E_F) = 0.00 states/eV/f.u.
offset from the most stable computed form = 0.054 eV/atom
E_tot = -5.69 eV per atom